Entry 1:
DFT (SCAN) results for RhC3 at its PBEsol-relaxed geometry. Values from VASP.

SG: Fm-3m, No. 225
uncorrected energy: -12.96 eV per atom
energy relative to the lowest polymorph listed for this composition: 183.8 kJ/mol of atoms
calculated volume: 33.59 Å³/f.u.
ΔE_f: 3.06 eV per atom

The structure in Quantum ESPRESSO input format:
```
&SYSTEM
  ibrav = 0, nat = 4, ntyp = 2
/
ATOMIC_SPECIES
Rh 102.91 Rh.upf
C 12.01 C.upf
CELL_PARAMETERS angstrom
0.000 2.561 2.561
2.561 0.000 2.561
2.561 2.561 0.000
ATOMIC_POSITIONS crystal
Rh 0.000 0.000 0.000
C 0.250 0.250 0.250
C 0.500 0.500 0.500
C 0.750 0.750 0.750
```



Entry 2:
DFT (SCAN) results for KLiDy2Mo4O16 at its PBEsol-relaxed geometry. Values from VASP.

SG: C2/c, No. 15
uncorrected energy: -17.05 eV per atom
calculated volume: 309.71 Å³/f.u.
ΔE_f (raw): -2.651 eV per atom

The structure in Quantum ESPRESSO input format:
```
&SYSTEM
  ibrav = 0, nat = 48, ntyp = 5
/
ATOMIC_SPECIES
K 39.10 K.upf
Li 6.94 Li.upf
Dy 162.50 Dy.upf
Mo 95.94 Mo.upf
O 16.00 O.upf
CELL_PARAMETERS angstrom
2.578 -6.227 0.000
2.578 6.227 0.000
-1.197 0.000 19.292
ATOMIC_POSITIONS crystal
K 0.034 0.966 0.750
K 0.966 0.034 0.250
Li 0.315 0.685 0.750
Li 0.685 0.315 0.250
Dy 0.146 0.852 0.532
Dy 0.148 0.854 0.968
Dy 0.852 0.146 0.032
Dy 0.854 0.148 0.468
Mo 0.244 0.736 0.353
Mo 0.264 0.756 0.147
Mo 0.421 0.545 0.908
Mo 0.455 0.579 0.592
Mo 0.545 0.421 0.408
Mo 0.579 0.455 0.092
Mo 0.736 0.244 0.853
Mo 0.756 0.264 0.647
O 0.002 0.271 0.829
O 0.056 0.582 0.433
O 0.065 0.479 0.286
O 0.099 0.405 0.132
O 0.168 0.506 0.958
O 0.220 0.257 0.537
O 0.226 0.325 0.398
O 0.257 0.220 0.037
O 0.271 0.002 0.329
O 0.293 0.474 0.670
O 0.325 0.226 0.898
O 0.405 0.099 0.632
O 0.418 0.944 0.067
O 0.474 0.293 0.170
O 0.479 0.065 0.786
O 0.494 0.832 0.542
O 0.506 0.168 0.458
O 0.521 0.935 0.214
O 0.526 0.707 0.830
O 0.582 0.056 0.933
O 0.595 0.901 0.368
O 0.675 0.774 0.102
O 0.707 0.526 0.330
O 0.729 0.998 0.671
O 0.743 0.780 0.963
O 0.774 0.675 0.602
O 0.780 0.743 0.463
O 0.832 0.494 0.042
O 0.901 0.595 0.868
O 0.935 0.521 0.714
O 0.944 0.418 0.567
O 0.998 0.729 0.171
```



Entry 3:
DFT (SCAN) results for YMgP at its PBEsol-relaxed geometry. Values from VASP.

SG: F-43m, No. 216
uncorrected energy: -14.43 eV per atom
energy relative to the lowest polymorph listed for this composition: 52.8 kJ/mol of atoms
calculated volume: 63.70 Å³/f.u.
ΔE_f: -0.02 eV per atom

The structure in Quantum ESPRESSO input format:
```
&SYSTEM
  ibrav = 0, nat = 3, ntyp = 3
/
ATOMIC_SPECIES
Y 88.91 Y.upf
Mg 24.30 Mg.upf
P 30.97 P.upf
CELL_PARAMETERS angstrom
0.000 3.170 3.170
3.170 0.000 3.170
3.170 3.170 0.000
ATOMIC_POSITIONS crystal
Y 0.000 0.000 0.000
Mg 0.250 0.250 0.250
P 0.500 0.500 0.500
```



Entry 4:
DFT (SCAN) results for CsCu2Br2 at its PBEsol-relaxed geometry. Values from VASP.

SG: I4/mmm, No. 139
uncorrected energy: -21.75 eV per atom
calculated volume: 119.00 Å³/f.u.
ΔE_f (raw): -0.329 eV per atom

The structure in Quantum ESPRESSO input format:
```
&SYSTEM
  ibrav = 0, nat = 5, ntyp = 3
/
ATOMIC_SPECIES
Cs 132.91 Cs.upf
Cu 63.55 Cu.upf
Br 79.90 Br.upf
CELL_PARAMETERS angstrom
-2.470 2.470 4.878
2.470 -2.470 4.878
2.470 2.470 -4.878
ATOMIC_POSITIONS crystal
Cs 0.000 0.000 0.000
Cu 0.373 0.373 0.000
Cu 0.627 0.627 0.000
Br 0.250 0.750 0.500
Br 0.750 0.250 0.500
```



Entry 5:
DFT (SCAN) results for CaBeRh2 at its PBEsol-relaxed geometry. Values from VASP.

SG: C2/m, No. 12
uncorrected energy: -20.38 eV per atom
calculated volume: 58.23 Å³/f.u.
ΔE_f: 0.01 eV per atom

The structure in Quantum ESPRESSO input format:
```
&SYSTEM
  ibrav = 0, nat = 4, ntyp = 3
/
ATOMIC_SPECIES
Ca 40.08 Ca.upf
Be 9.01 Be.upf
Rh 102.91 Rh.upf
CELL_PARAMETERS angstrom
2.794 -4.184 0.000
2.794 4.184 0.000
-1.246 0.000 2.491
ATOMIC_POSITIONS crystal
Ca 0.000 0.000 0.000
Be 0.500 0.500 0.000
Rh 0.000 0.500 0.500
Rh 0.500 0.000 0.500
```



Entry 6:
DFT (SCAN) results for KBa3I at its PBEsol-relaxed geometry. Values from VASP.

SG: Pm-3m, No. 221
uncorrected energy: -32.52 eV per atom
calculated volume: 331.98 Å³/f.u.
ΔE_f (raw): 0.225 eV per atom

The structure in Quantum ESPRESSO input format:
```
&SYSTEM
  ibrav = 0, nat = 5, ntyp = 3
/
ATOMIC_SPECIES
K 39.10 K.upf
Ba 137.33 Ba.upf
I 126.90 I.upf
CELL_PARAMETERS angstrom
6.924 0.000 0.000
0.000 6.924 0.000
0.000 0.000 6.924
ATOMIC_POSITIONS crystal
K 0.000 0.000 0.000
Ba 0.000 0.000 0.500
Ba 0.000 0.500 0.000
Ba 0.500 0.000 0.000
I 0.500 0.500 0.500
```



Entry 7:
DFT (SCAN) results for LiLa2Ag at its PBEsol-relaxed geometry. Values from VASP.

SG: P4mm, No. 99
uncorrected energy: -30.09 eV per atom
energy relative to the lowest polymorph listed for this composition: 1.8 kJ/mol of atoms
calculated volume: 102.10 Å³/f.u.
ΔE_f: -0.10 eV per atom

The structure in Quantum ESPRESSO input format:
```
&SYSTEM
  ibrav = 0, nat = 4, ntyp = 3
/
ATOMIC_SPECIES
Li 6.94 Li.upf
La 138.91 La.upf
Ag 107.87 Ag.upf
CELL_PARAMETERS angstrom
3.647 0.000 0.000
0.000 3.647 0.000
0.000 0.000 7.675
ATOMIC_POSITIONS crystal
Li 0.000 0.000 0.000
La 0.000 0.000 0.407
La 0.500 0.500 0.722
Ag 0.500 0.500 0.152
```



Entry 8:
DFT (SCAN) results for ZrNiW2 at its PBEsol-relaxed geometry. Values from VASP.

SG: Pmmm, No. 47
uncorrected energy: -46.48 eV per atom
energy relative to the lowest polymorph listed for this composition: 0.0 kJ/mol of atoms
calculated volume: 62.81 Å³/f.u.
ΔE_f: 0.08 eV per atom

The structure in Quantum ESPRESSO input format:
```
&SYSTEM
  ibrav = 0, nat = 4, ntyp = 3
/
ATOMIC_SPECIES
Zr 91.22 Zr.upf
Ni 58.69 Ni.upf
W 183.84 W.upf
CELL_PARAMETERS angstrom
3.219 0.000 0.000
0.000 4.283 0.000
0.000 0.000 4.555
ATOMIC_POSITIONS crystal
Zr 0.000 0.000 0.000
Ni 0.500 0.500 0.000
W 0.000 0.500 0.500
W 0.500 0.000 0.500
```



Entry 9:
DFT (SCAN) results for Cu2TcBr at its PBEsol-relaxed geometry. Values from VASP.

SG: Pmmm, No. 47
uncorrected energy: -20.34 eV per atom
energy relative to the lowest polymorph listed for this composition: 23.7 kJ/mol of atoms
calculated volume: 56.39 Å³/f.u.
ΔE_f (raw): 0.889 eV per atom

The structure in Quantum ESPRESSO input format:
```
&SYSTEM
  ibrav = 0, nat = 4, ntyp = 3
/
ATOMIC_SPECIES
Cu 63.55 Cu.upf
Tc 98.00 Tc.upf
Br 79.90 Br.upf
CELL_PARAMETERS angstrom
2.901 0.000 0.000
0.000 4.306 0.000
0.000 0.000 4.515
ATOMIC_POSITIONS crystal
Cu 0.000 0.000 0.000
Cu 0.500 0.500 0.000
Tc 0.000 0.500 0.500
Br 0.500 0.000 0.500
```



Entry 10:
DFT (SCAN) results for SrInCu2 at its PBEsol-relaxed geometry. Values from VASP.

SG: P4/mmm, No. 123
uncorrected energy: -21.44 eV per atom
calculated volume: 82.60 Å³/f.u.
ΔE_f: 0.08 eV per atom

The structure in Quantum ESPRESSO input format:
```
&SYSTEM
  ibrav = 0, nat = 4, ntyp = 3
/
ATOMIC_SPECIES
Sr 87.62 Sr.upf
In 114.82 In.upf
Cu 63.55 Cu.upf
CELL_PARAMETERS angstrom
3.492 0.000 0.000
0.000 3.492 0.000
0.000 0.000 6.772
ATOMIC_POSITIONS crystal
Sr 0.000 0.000 0.000
In 0.000 0.000 0.500
Cu 0.500 0.500 0.310
Cu 0.500 0.500 0.690
```



Entry 11:
DFT (SCAN) results for ZnCu at its PBEsol-relaxed geometry. Values from VASP.

SG: P2_13, No. 198
uncorrected energy: -14.40 eV per atom
calculated volume: 25.26 Å³/f.u.
ΔE_f: -0.04 eV per atom

The structure in Quantum ESPRESSO input format:
```
&SYSTEM
  ibrav = 0, nat = 8, ntyp = 2
/
ATOMIC_SPECIES
Zn 65.41 Zn.upf
Cu 63.55 Cu.upf
CELL_PARAMETERS angstrom
4.658 0.000 0.000
0.000 4.658 0.000
0.000 0.000 4.658
ATOMIC_POSITIONS crystal
Zn 0.097 0.097 0.097
Zn 0.403 0.903 0.597
Zn 0.597 0.403 0.903
Zn 0.903 0.597 0.403
Cu 0.102 0.602 0.898
Cu 0.398 0.398 0.398
Cu 0.602 0.898 0.102
Cu 0.898 0.102 0.602
```



Entry 12:
DFT (SCAN) results for ZnNi2Pb at its PBEsol-relaxed geometry. Values from VASP.

SG: P4/mmm, No. 123
uncorrected energy: -30.22 eV per atom
calculated volume: 57.79 Å³/f.u.
ΔE_f: 0.19 eV per atom

The structure in Quantum ESPRESSO input format:
```
&SYSTEM
  ibrav = 0, nat = 4, ntyp = 3
/
ATOMIC_SPECIES
Zn 65.41 Zn.upf
Ni 58.69 Ni.upf
Pb 207.20 Pb.upf
CELL_PARAMETERS angstrom
3.081 0.000 0.000
0.000 3.081 0.000
0.000 0.000 6.090
ATOMIC_POSITIONS crystal
Zn 0.000 0.000 0.000
Ni 0.500 0.500 0.208
Ni 0.500 0.500 0.792
Pb 0.000 0.000 0.500
```



Calculated density, respectively: 6.869, 5.419, 3.759, 5.858, 7.269, 2.891, 6.385, 13.683, 8.981, 6.625, 8.477, 11.206 g cm⁻³.
DOS at the Fermi energy, respectively: 1.768, 0.000, 1.956, 2.124, 1.882, 4.606, 2.503, 3.768, 3.968, 2.119, 0.598, 2.801 states/eV/f.u..
Size of the total moment, respectively: 0.00, 0.00, 0.00, 0.00, 0.00, 0.84, 0.17, 0.00, 0.00, 0.00, 0.00, 0.00 μB per atom.